SmH3 | PBE | optimized geometry

Unit cell a=6.5018 b=6.7234 c=3.7640 alpha=90.00 beta=90.00 gamma=90.00
With the nearest neighbours (Å) after each atom.
Space group Pnma (No. 62)
Symmetry-distinct sites (fractional):
Sm 0.1676 0.2500 0.0006 x4  11 H 2.17-2.41
H 0.0018 0.2500 0.5006 x4  3 Sm 2.17, 6 H 2.40-2.42
H 0.1659 0.5954 0.0015 x8  1 H 2.08, 1 Sm 2.32

The uncorrected energy comes out at -4.278 eV per atom.

***

Sm3Tm3NiTe2 | PBE | optimized geometry

Unit cell a=8.3558 b=8.3558 c=3.9765 alpha=90.00 beta=90.00 gamma=120.00
With the nearest neighbours (Å) after each atom.
Space group P-62m (No. 189)
Symmetry-distinct sites (fractional):
Sm 0.0000 0.4028 0.0000 x3  4 Te 3.23, 1 Ni 3.37, 4 Tm 3.54
Tm 0.0000 0.7663 0.5000 x3  2 Ni 2.79
Ni 0.0000 0.0000 0.0000 x1  6 Tm 2.79
Te 0.3333 0.6667 0.5000 x2  6 Sm 3.23, 3 Tm 3.28

The uncorrected energy comes out at -5.121 eV per atom.

***

HoScCl2 | PBE | optimized geometry

Unit cell a=3.3641 b=3.3641 c=8.2050 alpha=90.00 beta=90.00 gamma=90.00
With the nearest neighbours (Å) after each atom.
Space group P4/mmm (No. 123)
Symmetry-distinct sites (fractional):
Ho 0.0000 0.0000 0.0000 x1  8 Cl 2.81
Sc 0.5000 0.5000 0.5000 x1  2 Cl 2.60
Cl 0.5000 0.5000 0.1834 x2  1 Sc 2.60, 4 Ho 2.81

The uncorrected energy comes out at -4.690 eV per atom.

***

Dy2HoErAl2 | PBE | optimized geometry

Unit cell a=5.2235 b=5.2235 c=6.6076 alpha=90.00 beta=90.00 gamma=120.00
With the nearest neighbours (Å) after each atom.
Space group P-6m2 (No. 187)
Symmetry-distinct sites (fractional):
Dy 0.0000 0.0000 0.2504 x2  2 Dy 3.30-3.31, 3 Er 3.44, 6 Al 3.44, 3 Ho 3.44
Ho 0.3333 0.6667 0.0000 x1  5 Al 3.02-3.30
Er 0.6667 0.3333 0.5000 x1  5 Al 3.02-3.30
Al 0.3333 0.6667 0.5000 x1  3 Er 3.02, 2 Ho 3.30
Al 0.6667 0.3333 0.0000 x1  3 Ho 3.02, 2 Er 3.30

The uncorrected energy comes out at -4.576 eV per atom.

***

no.,size of the total moment (Bohr magnetons per cell)
1,0.0
2,0.4
3,0.5
4,0.0